Record 1
Crystalline MnBi3W at its relaxed geometry. Source: Alexandria, functional PBE.

Structure (POSCAR):
```
MnBi3W
1.0
5.177 0.000 0.000
0.000 5.177 0.000
0.000 0.000 5.177
Mn Bi W
1 3 1
direct
0.000 0.000 0.000
0.000 0.000 0.500
0.000 0.500 0.000
0.500 0.000 0.000
0.500 0.500 0.500
```

E ... -27.07 eV/cell
Total moment ... 6.2 Bohr magnetons per cell



Record 2
Crystalline MnBi3W at its relaxed geometry. Source: Alexandria, functional PBE.

Structure (POSCAR):
```
MnBi3W
1.0
5.378 0.000 0.000
0.000 5.378 0.000
0.000 0.000 5.378
Mn Bi W
1 3 1
direct
0.000 0.000 0.000
0.000 0.500 0.500
0.500 0.000 0.500
0.500 0.500 0.000
0.500 0.500 0.500
```

E ... -25.50 eV/cell
Total moment ... 0.4 Bohr magnetons per cell



Record 3
Crystalline Mn2Bi2W at its relaxed geometry. Source: Alexandria, functional PBE.

Structure (POSCAR):
```
Mn2Bi2W
1.0
-2.702 2.702 3.656
2.702 -2.702 3.656
2.702 2.702 -3.656
Mn Bi W
2 2 1
direct
0.162 0.162 0.000
0.838 0.838 0.000
0.250 0.750 0.500
0.750 0.250 0.500
0.500 0.500 0.000
```

E ... -33.28 eV/cell
Total moment ... 6.2 Bohr magnetons per cell



Record 4
Crystalline Mn2Bi2W at its relaxed geometry. Source: Alexandria, functional PBE.

Structure (POSCAR):
```
Mn2Bi2W
1.0
6.561 0.000 0.000
0.000 6.561 0.000
0.000 0.000 4.273
Mn Bi W
4 4 2
direct
0.121 0.379 0.000
0.379 0.879 0.000
0.621 0.121 0.000
0.879 0.621 0.000
0.184 0.684 0.500
0.316 0.184 0.500
0.684 0.816 0.500
0.816 0.316 0.500
0.000 0.000 0.000
0.500 0.500 0.000
```

E ... -68.97 eV/cell
Total moment ... 0.0 Bohr magnetons per cell



Which of these has the lowest E?
number 4



The lowest E belongs to which entry?
number 4